[1]
# CaCuIr2

A geometry-optimized CaCuIr2 structure (PBE, Alexandria).

Output
Calculated volume (Å³ per atom): 21.7
Calculated formation energy (meV/atom): 226
Spin magnetization (μB per cell): 0.000
ρ (kg/m3): 9343
Symmetry: I-42d, No. 122

abc: 9.357 9.357 9.357
angles: 152.57 152.57 39.18
Fractional positions:
Ca 0.000 0.000 0.000
Ca 0.750 0.250 0.500
Cu 0.250 0.750 0.500
Cu 0.500 0.500 0.000
Ir 0.275 0.625 0.150
Ir 0.375 0.525 0.650
Ir 0.475 0.125 0.850
Ir 0.875 0.725 0.350

[2]
# NaAcMgGe

A geometry-optimized NaAcMgGe structure (PBE, Alexandria).

Output
Calculated volume (Å³ per atom): 28.4
Calculated formation energy (meV/atom): -160
Spin magnetization (μB per cell): 0.000
ρ (kg/m3): 5074
Symmetry: F-43m, No. 216

abc: 5.435 5.435 5.435
angles: 60.00 60.00 60.00
Fractional positions:
Na 0.000 0.000 0.000
Ac 0.500 0.500 0.500
Mg 0.250 0.250 0.250
Ge 0.750 0.750 0.750